A geometry-optimized Ca2CoH structure, computed with PBE.

Unit cell a=4.744 b=4.744 c=4.744 alpha=60.00 beta=60.00 gamma=60.00
Sites, in units of the cell vectors:
H  0.000  0.000  0.000
Co  0.500  0.500  0.500
Ca  0.250  0.250  0.250
Ca  0.750  0.750  0.750

total energy: -0.1200 hartree per atom


A geometry-optimized HfNi3Se structure, computed with PBE.

Unit cell a=4.599 b=4.599 c=4.599 alpha=90.00 beta=90.00 gamma=90.00
Sites, in units of the cell vectors:
Ni  0.500  0.000  0.000
Ni  0.000  0.000  0.500
Ni  0.000  0.500  0.000
Se  0.500  0.500  0.500
Hf  0.000  0.000  0.000

formation energy from raw total energies: 1.15 eV per atom


no.,total magnetization (μB per cell)
1,0.0
2,0.0